[1]
A plane-wave DFT calculation with PBE-GGA was carried out for PPbCS2 after structural relaxation.

Results
The crystal system is tetragonal. The value obtained for the energy relative to the lowest polymorph listed for this composition is 0.00 kJ per mole of atoms. Its formation energy without anion corrections is 924 meV/atom. The value obtained for the density of states at the Fermi level is 0.25 states/eV per atom.

Cell and atoms, written as POSCAR:
```
PPbCS2
1.0
4.837 0.000 0.000
0.000 4.837 0.000
0.000 0.000 3.783
P Pb C S
1 1 1 2
direct
0.000 0.000 0.000
0.500 0.500 0.000
0.000 0.000 0.500
0.000 0.500 0.500
0.500 0.000 0.500
```

=====

[2]
A plane-wave DFT calculation with PBE-GGA was carried out for La5S5N after structural relaxation.

Results
The crystal system is monoclinic. Its formation energy without anion corrections is -1963 meV/atom. The value obtained for the density of states at the Fermi level is 0.34 states/eV per atom.

Cell and atoms, written as POSCAR:
```
La5S5N
1.0
6.496 -2.887 0.000
6.496 2.887 0.000
-2.571 0.000 7.688
La S N
5 5 1
direct
0.000 0.000 0.000
0.342 0.342 0.681
0.352 0.352 0.160
0.648 0.648 0.840
0.658 0.658 0.319
0.169 0.169 0.840
0.177 0.177 0.328
0.500 0.500 0.500
0.823 0.823 0.672
0.831 0.831 0.160
0.500 0.500 0.000
```

=====

[3]
A plane-wave DFT calculation with PBE-GGA was carried out for Tb3Er5Bi8 after structural relaxation.

Results
The crystal system is trigonal. The calculated formation energy is -0.84 eV per atom. The value obtained for the density of states at the Fermi level is 0.20 states/eV per atom.

Cell and atoms, written as POSCAR:
```
Tb3Er5Bi8
1.0
4.461 2.576 7.286
-4.461 2.576 7.286
0.000 -5.152 7.286
Tb Er Bi
3 5 8
direct
0.000 0.500 0.500
0.500 0.000 0.500
0.500 0.500 0.000
0.000 0.000 0.000
0.000 0.000 0.500
0.000 0.500 0.000
0.500 0.000 0.000
0.500 0.500 0.500
0.248 0.750 0.750
0.249 0.249 0.249
0.250 0.250 0.752
0.250 0.752 0.250
0.750 0.248 0.750
0.750 0.750 0.248
0.751 0.751 0.751
0.752 0.250 0.250
```

=====

[4]
A plane-wave DFT calculation with PBE-GGA was carried out for Li3CuF6 after structural relaxation.

Results
The crystal system is monoclinic. The value obtained for the energy relative to the lowest polymorph listed for this composition is 0.00 kJ per mole of atoms. Its formation energy without anion corrections is -2345 meV/atom.

Cell and atoms, written as POSCAR:
```
Li3CuF6
1.0
7.261 -4.330 0.000
7.261 4.330 0.000
-0.806 0.000 10.071
Li Cu F
18 6 36
direct
0.006 0.704 0.233
0.060 0.344 0.432
0.135 0.530 0.949
0.184 0.816 0.750
0.296 0.994 0.267
0.325 0.633 0.461
0.344 0.060 0.932
0.367 0.675 0.039
0.470 0.865 0.551
0.530 0.135 0.449
0.633 0.325 0.961
0.656 0.940 0.068
0.675 0.367 0.539
0.704 0.006 0.733
0.816 0.184 0.250
0.865 0.470 0.051
0.940 0.656 0.568
0.994 0.296 0.767
0.000 0.000 0.000
0.000 0.000 0.500
0.334 0.340 0.704
0.340 0.334 0.204
0.660 0.666 0.796
0.666 0.660 0.296
0.067 0.079 0.166
0.079 0.067 0.666
0.087 0.760 0.063
0.094 0.762 0.566
0.103 0.414 0.609
0.105 0.433 0.114
0.228 0.272 0.841
0.238 0.906 0.934
0.240 0.913 0.437
0.245 0.558 0.303
0.245 0.568 0.800
0.272 0.228 0.341
0.408 0.427 0.060
0.414 0.103 0.109
0.427 0.408 0.560
0.432 0.755 0.700
0.433 0.105 0.614
0.442 0.755 0.197
0.558 0.245 0.803
0.567 0.895 0.386
0.568 0.245 0.300
0.573 0.592 0.440
0.586 0.897 0.891
0.592 0.573 0.940
0.728 0.772 0.659
0.755 0.432 0.200
0.755 0.442 0.697
0.760 0.087 0.563
0.762 0.094 0.066
0.772 0.728 0.159
0.895 0.567 0.886
0.897 0.586 0.391
0.906 0.238 0.434
0.913 0.240 0.937
0.921 0.933 0.334
0.933 0.921 0.834
```

=====

[5]
A plane-wave DFT calculation with PBE-GGA was carried out for NpPaV2 after structural relaxation.

Results
The crystal system is tetragonal. The calculated formation energy is 0.44 eV per atom. The value obtained for the energy relative to the lowest polymorph listed for this composition is 2.64 kJ per mole of atoms. The value obtained for the density of states at the Fermi level is 2.10 states/eV per atom.

Cell and atoms, written as POSCAR:
```
NpPaV2
1.0
3.962 0.000 0.000
0.000 3.962 0.000
0.000 0.000 4.628
Np Pa V
1 1 2
direct
0.000 0.000 0.000
0.500 0.500 0.000
0.000 0.500 0.500
0.500 0.000 0.500
```

=====

[6]
A plane-wave DFT calculation with PBE-GGA was carried out for TaB3Pt after structural relaxation.

Results
The crystal system is cubic. The calculated formation energy is 1.38 eV per atom. The value obtained for the energy relative to the lowest polymorph listed for this composition is 0.00 kJ per mole of atoms. The value obtained for the density of states at the Fermi level is 0.93 states/eV per atom.

Cell and atoms, written as POSCAR:
```
TaB3Pt
1.0
4.052 0.000 0.000
0.000 4.052 0.000
0.000 0.000 4.052
Ta B Pt
1 3 1
direct
0.000 0.000 0.000
0.000 0.500 0.500
0.500 0.000 0.500
0.500 0.500 0.000
0.500 0.500 0.500
```

=====

[7]
A plane-wave DFT calculation with PBE-GGA was carried out for Er12Th3Ga5 after structural relaxation.

Results
The crystal system is cubic. The calculated formation energy is 0.45 eV per atom. The value obtained for the density of states at the Fermi level is 1.47 states/eV per atom.

Cell and atoms, written as POSCAR:
```
Er12Th3Ga5
1.0
-8.784 8.784 8.784
8.784 -8.784 8.784
8.784 8.784 -8.784
Er Th Ga
48 12 20
direct
0.034 0.210 0.111
0.034 0.325 0.923
0.077 0.611 0.402
0.077 0.966 0.675
0.098 0.710 0.675
0.098 0.889 0.423
0.111 0.034 0.210
0.111 0.577 0.902
0.175 0.210 0.598
0.175 0.466 0.577
0.210 0.111 0.034
0.210 0.598 0.175
0.290 0.325 0.902
0.290 0.466 0.389
0.325 0.902 0.290
0.325 0.923 0.034
0.389 0.290 0.466
0.389 0.598 0.923
0.402 0.077 0.611
0.402 0.825 0.790
0.423 0.098 0.889
0.423 0.825 0.534
0.466 0.389 0.290
0.466 0.577 0.175
0.534 0.423 0.825
0.534 0.611 0.710
0.577 0.175 0.466
0.577 0.902 0.111
0.598 0.175 0.210
0.598 0.923 0.389
0.611 0.402 0.077
0.611 0.710 0.534
0.675 0.077 0.966
0.675 0.098 0.710
0.710 0.534 0.611
0.710 0.675 0.098
0.790 0.402 0.825
0.790 0.889 0.966
0.825 0.534 0.423
0.825 0.790 0.402
0.889 0.423 0.098
0.889 0.966 0.790
0.902 0.111 0.577
0.902 0.290 0.325
0.923 0.034 0.325
0.923 0.389 0.598
0.966 0.675 0.077
0.966 0.790 0.889
0.125 0.250 0.375
0.125 0.375 0.750
0.250 0.375 0.125
0.250 0.875 0.625
0.375 0.125 0.250
0.375 0.750 0.125
0.625 0.250 0.875
0.625 0.875 0.750
0.750 0.125 0.375
0.750 0.625 0.875
0.875 0.625 0.250
0.875 0.750 0.625
0.000 0.000 0.000
0.000 0.000 0.500
0.000 0.500 0.000
0.000 0.500 0.500
0.125 0.750 0.875
0.125 0.875 0.250
0.250 0.125 0.875
0.250 0.625 0.375
0.375 0.250 0.625
0.375 0.625 0.750
0.500 0.000 0.000
0.500 0.000 0.500
0.500 0.500 0.000
0.500 0.500 0.500
0.625 0.375 0.250
0.625 0.750 0.375
0.750 0.375 0.625
0.750 0.875 0.125
0.875 0.125 0.750
0.875 0.250 0.125
```

=====

[8]
A plane-wave DFT calculation with PBE-GGA was carried out for KHg3Pd after structural relaxation.

Results
The crystal system is monoclinic. The calculated formation energy is -0.19 eV per atom. The value obtained for the energy relative to the lowest polymorph listed for this composition is 5.29 kJ per mole of atoms. The value obtained for the density of states at the Fermi level is 0.42 states/eV per atom.

Cell and atoms, written as POSCAR:
```
KHg3Pd
1.0
6.332 0.000 0.000
0.000 6.499 0.000
-2.883 0.000 6.563
K Hg Pd
2 6 2
direct
0.208 0.250 0.170
0.792 0.750 0.830
0.220 0.004 0.699
0.220 0.496 0.699
0.264 0.750 0.346
0.736 0.250 0.654
0.780 0.504 0.301
0.780 0.996 0.301
0.419 0.750 0.040
0.581 0.250 0.960
```

=====

[9]
A plane-wave DFT calculation with PBE-GGA was carried out for Cd2ReOs after structural relaxation.

Results
The crystal system is tetragonal. The calculated formation energy is 1.38 eV per atom. The value obtained for the energy relative to the lowest polymorph listed for this composition is 112.65 kJ per mole of atoms. The value obtained for the density of states at the Fermi level is 1.11 states/eV per atom.

Cell and atoms, written as POSCAR:
```
Cd2ReOs
1.0
7.659 0.000 0.000
0.000 7.659 0.000
0.000 0.000 5.229
Cd Re Os
8 4 4
direct
0.245 0.250 0.125
0.250 0.745 0.375
0.250 0.755 0.875
0.255 0.250 0.625
0.745 0.750 0.625
0.750 0.245 0.875
0.750 0.255 0.375
0.755 0.750 0.125
0.000 0.000 0.500
0.000 0.500 0.750
0.500 0.000 0.250
0.500 0.500 0.000
0.000 0.000 0.000
0.000 0.500 0.250
0.500 0.000 0.750
0.500 0.500 0.500
```

=====

[10]
A plane-wave DFT calculation with PBE-GGA was carried out for YAl2Te after structural relaxation.

Results
The crystal system is orthorhombic. Its formation energy without anion corrections is -390 meV/atom. The value obtained for the density of states at the Fermi level is 0.48 states/eV per atom.

Cell and atoms, written as POSCAR:
```
YAl2Te
1.0
3.827 0.000 0.000
0.000 3.849 0.000
0.000 0.000 6.277
Y Al Te
1 2 1
direct
0.000 0.000 0.000
0.000 0.000 0.474
0.500 0.500 0.276
0.500 0.500 0.737
```

=====

[11]
A plane-wave DFT calculation with PBE-GGA was carried out for La2Dy2Tm7 after structural relaxation.

Results
The crystal system is monoclinic. The calculated formation energy is 0.17 eV per atom. The value obtained for the energy relative to the lowest polymorph listed for this composition is 0.99 kJ per mole of atoms. The value obtained for the density of states at the Fermi level is 1.51 states/eV per atom.

Cell and atoms, written as POSCAR:
```
La2Dy2Tm7
1.0
5.608 -5.775 0.000
5.608 5.775 0.000
-2.427 0.000 5.509
La Dy Tm
2 2 7
direct
0.210 0.790 0.000
0.790 0.210 0.000
0.403 0.403 0.687
0.597 0.597 0.313
0.000 0.000 0.500
0.063 0.592 0.329
0.240 0.240 0.080
0.408 0.937 0.671
0.592 0.063 0.329
0.760 0.760 0.920
0.937 0.408 0.671
```

=====

[12]
A plane-wave DFT calculation with PBE-GGA was carried out for LiBeHgAs2 after structural relaxation.

Results
The crystal system is tetragonal. The calculated formation energy is 0.16 eV per atom. The value obtained for the density of states at the Fermi level is 0.65 states/eV per atom.

Cell and atoms, written as POSCAR:
```
LiBeHgAs2
1.0
4.497 0.000 0.000
0.000 4.497 0.000
0.000 0.000 5.080
Li Be Hg As
1 1 1 2
direct
0.000 0.000 0.000
0.500 0.500 0.500
0.500 0.500 0.000
0.000 0.500 0.500
0.500 0.000 0.500
```